# 1
Compound: PmHoEr
Source: the Alexandria database
Functional: GGA-PBE
Structure: relaxed

Summary:
offset from the most stable computed form: 2 meV per atom
VASP energy: -4.608 eV/atom
theoretical density: 8274 kg/m³
space group: I4mm
total magnetization: 0.00 μB per formula unit
formation enthalpy at 0 K: 0.02 eV per atom

a = 3.5598 Å, b = 3.5598 Å, c = 15.1148 Å
α = 90.00°, β = 90.00°, γ = 90.00°
Fractional coordinates of all 6 atoms:
Pm (0.0000, 0.0000, 0.0000)
Pm (0.5000, 0.5000, 0.5000)
Ho (0.0000, 0.0000, 0.6687)
Ho (0.5000, 0.5000, 0.1687)
Er (0.0000, 0.0000, 0.3320)
Er (0.5000, 0.5000, 0.8320)

***

# 2
Compound: ErCd6Pd12
Source: the Alexandria database
Functional: GGA-PBE
Structure: relaxed

Summary:
VASP energy: -4.044 eV/atom
theoretical density: 10229 kg/m³
space group: R-3
total magnetization: 0.00 μB per formula unit
formation enthalpy at 0 K: -0.24 eV per atom

a = 7.1725 Å, b = 7.1725 Å, c = 7.1725 Å
α = 101.34°, β = 101.34°, γ = 101.34°
Fractional coordinates of all 19 atoms:
Er (0.0000, 0.0000, 0.0000)
Cd (0.1766, 0.4446, 0.1781)
Cd (0.1781, 0.1766, 0.4446)
Cd (0.4446, 0.1781, 0.1766)
Cd (0.5554, 0.8219, 0.8234)
Cd (0.8219, 0.8234, 0.5554)
Cd (0.8234, 0.5554, 0.8219)
Pd (0.0004, 0.2548, 0.7445)
Pd (0.9996, 0.7452, 0.2555)
Pd (0.1805, 0.5948, 0.5959)
Pd (0.2548, 0.7445, 0.0004)
Pd (0.2555, 0.9996, 0.7452)
Pd (0.4041, 0.8195, 0.4052)
Pd (0.4052, 0.4041, 0.8195)
Pd (0.5948, 0.5959, 0.1805)
Pd (0.5959, 0.1805, 0.5948)
Pd (0.7445, 0.0004, 0.2548)
Pd (0.7452, 0.2555, 0.9996)
Pd (0.8195, 0.4052, 0.4041)